No. 1
GGA-PBE SrBe2Ir, relaxed; formation energy = 0.6292 eV per atom; E above lowest polymorph = 3.78 eV per formula unit; volume = 61.51 Å³ per cell
1.0
-3.706 4.017 3.430
-0.373 -4.583 0.200
0.424 0.100 2.952
Sr Ir Be
1 1 2
Direct
0.500 0.500 0.000
0.000 0.500 0.500
0.000 0.000 0.000
0.500 0.000 0.500

No. 2
GGA-PBE SrBe2Ir, relaxed; formation energy = -0.3156 eV per atom; E above lowest polymorph = 0.00 eV per formula unit; volume = 72.16 Å³ per cell
1.0
3.965 -0.012 0.038
1.998 3.425 0.038
1.921 1.100 5.329
Sr Ir Be
1 1 2
Direct
0.750 0.750 0.750
0.250 0.250 0.250
0.934 0.934 0.198
0.566 0.566 0.302

No. 3
GGA-PBE Sr2BeIr, relaxed; formation energy = 0.3309 eV per atom; volume = 98.22 Å³ per cell
1.0
-1.936 -5.802 5.443
4.288 0.521 -2.829
2.038 -0.146 3.065
Sr Ir Be
2 1 1
Direct
0.000 0.000 0.000
0.500 0.000 0.500
0.500 0.500 0.000
0.000 0.500 0.500

No. 4
GGA-PBE SrBe2Ir, relaxed; formation energy = 0.3808 eV per atom; E above lowest polymorph = 2.79 eV per formula unit; volume = 63.41 Å³ per cell
1.0
0.000 3.165 3.165
3.165 0.000 3.165
3.165 3.165 0.000
Sr Ir Be
1 1 2
Direct
0.000 0.000 0.000
0.500 0.500 0.500
0.250 0.250 0.250
0.750 0.750 0.750

No. 5
GGA-PBE SrBe2Ir, relaxed; formation energy = -0.0769 eV per atom; E above lowest polymorph = 0.95 eV per formula unit; volume = 160.03 Å³ per cell
1.0
4.601 0.000 0.000
0.000 4.601 0.000
2.301 2.301 7.559
Sr Ir Be
2 2 4
Direct
0.500 0.500 0.000
0.250 0.750 0.500
0.000 0.000 0.000
0.750 0.250 0.500
0.875 0.125 0.250
0.875 0.625 0.250
0.375 0.125 0.750
0.875 0.125 0.750

No. 6
GGA-PBE SrBe2Ir, relaxed; formation energy = 0.6946 eV per atom; E above lowest polymorph = 4.04 eV per formula unit; volume = 68.45 Å³ per cell
1.0
4.130 0.000 0.000
0.000 4.135 0.000
0.000 0.000 4.008
Sr Ir Be
1 1 2
Direct
0.000 0.500 0.500
0.500 0.000 0.500
0.000 0.000 0.000
0.500 0.500 0.000

For each record above, in turn, the calculated total DFT energy (no corrections) values are -3.870, -4.814, -3.657, -4.118, -4.576, -3.804 eV per atom.
For each record above, in turn, the calculated Fermi-level density of states values are 0.523, 0.591, 0.481, 1.228, 0.368, 0.610 states/eV per atom.